Entry 1:
Compound: Li2TbPmS4
Source: Alexandria via LeMat-Bulk
Functional: PBE
Structure: relaxed

```
8
Lattice="3.982 0.000 0.000 0.000 6.895 0.116 0.000 -2.399 6.152" Properties=species:S:1:pos:R:3 pbc="T T T"
Pm 0.000 0.000 0.000
S 0.000 -0.040 4.629
S 1.991 3.339 4.672
S 1.991 1.158 1.595
S 0.000 4.536 1.638
Li 0.000 2.248 3.134
Li 1.991 -1.199 3.076
Tb 1.991 3.448 0.058
```

Values from the calculation:
Space group   P2/m
Formation energy (no corrections)   -1.82 eV/atom

Entry 2:
Compound: LiTb3Pm2S6
Source: Alexandria via LeMat-Bulk
Functional: PBE
Structure: relaxed

```
12
Lattice="6.844 -0.010 -0.005 -3.429 5.923 -0.005 -1.144 -1.980 6.447" Properties=species:S:1:pos:R:3 pbc="T T T"
Pm 3.412 1.973 -0.005
Pm 0.003 3.941 -0.005
Li 0.000 0.000 0.000
S 2.319 4.015 1.605
S 3.381 2.025 4.808
S 0.064 3.941 4.808
S -0.047 -0.081 4.832
S 2.207 -0.007 1.630
S -1.109 1.908 1.630
Tb 1.136 1.967 3.219
Tb -2.291 3.946 3.219
Tb 4.563 -0.012 3.219
```

Values from the calculation:
Space group   C2/m
Formation energy (no corrections)   -1.97 eV/atom

Entry 3:
Compound: Li2PmTeS4
Source: Alexandria via LeMat-Bulk
Functional: PBE
Structure: relaxed

```
16
Lattice="7.751 0.155 0.091 0.149 7.751 0.091 -3.821 -3.824 5.825" Properties=species:S:1:pos:R:3 pbc="T T T"
S 3.816 3.961 2.780
S 0.153 3.945 2.898
S 3.926 0.137 3.109
S -1.766 2.042 5.810
S -1.903 -2.046 5.602
S 5.982 6.128 0.405
S 0.263 0.121 3.227
S 5.846 2.040 0.197
Pm 5.915 2.118 3.049
Pm 0.075 3.875 0.045
Li 1.965 -1.834 2.958
Li 3.875 0.077 0.045
Li -1.910 -1.912 2.913
Li 3.950 3.953 0.091
Te 2.040 2.041 3.003
Te 3.930 -3.669 5.916
```

Values from the calculation:
Space group   C2/c
Formation energy (no corrections)   -1.05 eV/atom

Entry 4:
Compound: LiPm2TeS6
Source: Alexandria via LeMat-Bulk
Functional: PBE
Structure: relaxed

```
20
Lattice="-1.918 -5.589 -2.918 -0.045 -3.305 6.359 -9.172 2.045 0.998" Properties=species:S:1:pos:R:3 pbc="T T T"
S -9.949 -2.927 0.961
S -3.487 -3.249 -1.333
S -4.398 -0.718 1.081
S -7.648 -3.600 5.772
S -4.003 -6.076 1.233
S -4.625 -3.188 3.886
S -6.738 -6.131 3.358
S -7.133 -0.774 3.206
S -6.511 -3.661 0.553
S -0.960 -1.494 0.753
S -10.176 -5.355 3.685
S -1.186 -3.922 3.477
Pm -2.475 -2.682 5.860
Pm -8.660 -4.167 -1.422
Pm -8.007 -3.461 2.989
Pm -3.129 -3.388 1.450
Li -4.609 -0.630 3.679
Li -0.959 -2.795 -1.459
Te -0.023 -1.653 3.180
Te -5.545 -1.772 -0.960
```

Values from the calculation:
Space group   P2_1/c
Formation energy (no corrections)   -1.13 eV/atom

Entry 5:
Compound: LiPm2ThS4
Source: Alexandria via LeMat-Bulk
Functional: PBE
Structure: relaxed

```
8
Lattice="3.992 0.000 0.000 0.000 6.904 -0.159 0.000 2.409 6.480" Properties=species:S:1:pos:R:3 pbc="T T T"
S 3.992 2.377 1.525
S 0.000 6.936 4.796
S 1.996 5.701 1.443
S 1.996 3.612 4.878
Pm 1.996 1.205 3.240
Pm 0.000 2.409 6.480
Th 0.000 4.657 3.160
Li 1.996 3.452 -0.079
```

Values from the calculation:
Space group   P2/m
Formation energy (no corrections)   -1.86 eV/atom

Entry 6:
Compound: LiPm4Th3S8
Source: Alexandria via LeMat-Bulk
Functional: PBE
Structure: relaxed

```
16
Lattice="8.027 0.000 0.000 0.000 8.032 -0.002 -4.013 -4.010 5.679" Properties=species:S:1:pos:R:3 pbc="T T T"
S 4.013 4.036 2.850
S 0.000 4.021 2.755
S 4.013 0.001 2.923
S -2.067 -1.943 5.677
S 6.081 5.966 0.000
S 2.067 -1.943 5.677
S 0.000 -0.013 2.828
S 1.946 5.966 0.000
Pm 4.013 0.000 0.000
Pm -2.007 -2.005 2.840
Pm 2.007 -2.005 2.840
Pm 0.000 0.000 0.000
Th -2.007 2.011 2.839
Th 2.007 2.011 2.839
Th 4.013 4.016 -0.001
Li 0.000 4.016 -0.001
```

Values from the calculation:
Space group   R-3m
Formation energy (no corrections)   -1.90 eV/atom

Entry 7:
Compound: LiPmTh2S4
Source: Alexandria via LeMat-Bulk
Functional: PBE
Structure: relaxed

```
8
Lattice="-0.866 2.131 -3.227 4.021 -4.221 -3.867 -3.845 -5.157 -2.373" Properties=species:S:1:pos:R:3 pbc="T T T"
S -0.717 -0.200 -4.806
S 0.026 -7.048 -4.661
S 1.610 -3.299 -5.044
S -2.301 -3.949 -4.423
Th -3.845 -5.157 -2.373
Th -2.356 -1.513 -2.800
Li 1.577 -1.045 -3.547
Pm 0.088 -4.689 -3.120
```

Values from the calculation:
Space group   P2/m
Formation energy (no corrections)   -1.79 eV/atom

Entry 8:
Compound: LiPm2Th3S6
Source: Alexandria via LeMat-Bulk
Functional: PBE
Structure: relaxed

```
12
Lattice="-6.484 0.851 -2.135 3.261 -5.947 -1.156 -1.139 -0.639 6.906" Properties=species:S:1:pos:R:3 pbc="T T T"
Th 1.037 -5.112 2.131
Th -5.400 -0.622 1.484
Th -2.181 -2.867 1.807
S -1.769 -5.452 2.916
S 0.515 -2.451 1.011
S -4.878 -3.283 2.604
S -2.593 -0.282 0.699
S -2.726 -4.028 -0.830
S -1.637 -1.706 4.444
Li 0.000 0.000 0.000
Pm 0.016 -3.683 -1.482
Pm -3.240 -1.412 -1.809
```

Values from the calculation:
Space group   C2/m
Formation energy (no corrections)   -1.84 eV/atom